Density functional theory data (PBE) for a relaxed SrPu2PaAs4 crystal. Values from VASP.

Values from the calculation:
The value obtained for the energy of formation is -1.0263 eV per atom. The raw total energy comes out at -8.33 eV/atom.

The structure in Quantum ESPRESSO input format:
```
&SYSTEM
  ibrav = 0, nat = 8, ntyp = 4
/
ATOMIC_SPECIES
Sr 87.62 Sr.upf
Pu 244.00 Pu.upf
Pa 231.04 Pa.upf
As 74.92 As.upf
ATOMIC_POSITIONS angstrom
Sr 2.102 3.629 -0.066
Pu 0.000 2.569 6.859
Pu 2.102 1.284 3.429
Pa 0.000 4.913 3.363
As 0.000 7.381 4.885
As 4.204 2.445 1.842
As 2.102 6.109 1.708
As 2.102 3.717 5.019
CELL_PARAMETERS angstrom
4.204 0.000 0.000
0.000 7.257 -0.132
0.000 2.569 6.859
```

Density functional theory data (PBE) for a relaxed Cs2AgI5 crystal. Values from VASP.

Values from the calculation:
The calculation puts the formation energy from raw total energies at -0.85 eV per atom. The raw total energy comes out at -2.39 eV/atom.

The structure in Quantum ESPRESSO input format:
```
&SYSTEM
  ibrav = 0, nat = 8, ntyp = 3
/
ATOMIC_SPECIES
Cs 132.91 Cs.upf
Ag 107.87 Ag.upf
I 126.90 I.upf
ATOMIC_POSITIONS angstrom
Cs -5.240 -0.151 1.202
Cs -0.949 -4.048 3.412
Ag -0.120 0.057 0.334
I -4.362 -2.219 4.558
I -3.833 2.723 3.862
I 0.299 -1.029 5.990
I -1.835 -1.981 0.070
I -1.765 0.846 4.921
CELL_PARAMETERS angstrom
-2.640 -5.904 -5.283
2.635 -3.103 6.831
-5.950 4.692 2.410
```

Density functional theory data (PBE) for a relaxed SrAl3Tc crystal. Values from VASP.

Values from the calculation:
The value obtained for the energy of formation is -0.0586 eV per atom. The raw total energy comes out at -4.71 eV/atom. The calculation puts the offset from the most stable computed form at 1.318 eV/f.u.

The structure in Quantum ESPRESSO input format:
```
&SYSTEM
  ibrav = 0, nat = 10, ntyp = 3
/
ATOMIC_SPECIES
Sr 87.62 Sr.upf
Tc 98.00 Tc.upf
Al 26.98 Al.upf
ATOMIC_POSITIONS angstrom
Sr 11.994 2.069 -3.268
Sr 0.468 2.069 3.270
Tc 2.672 2.069 -2.552
Tc 9.790 2.069 2.554
Al 7.200 2.069 3.322
Al 5.263 2.069 -3.320
Al 9.989 2.069 -0.131
Al 2.473 2.069 0.133
Al 7.573 2.069 -1.866
Al 4.889 2.069 1.868
CELL_PARAMETERS angstrom
12.462 0.000 0.002
4.332 2.069 -4.203
-4.332 2.069 4.203
```

Density functional theory data (PBE) for a relaxed NdErO2 crystal. Values from VASP.

Values from the calculation:
The calculation puts the formation energy from raw total energies at -2.84 eV per atom. The raw total energy comes out at -7.66 eV/atom. The calculation puts the offset from the most stable computed form at 0.000 eV/f.u.

The structure in Quantum ESPRESSO input format:
```
&SYSTEM
  ibrav = 0, nat = 4, ntyp = 3
/
ATOMIC_SPECIES
Nd 144.24 Nd.upf
O 16.00 O.upf
Er 167.26 Er.upf
ATOMIC_POSITIONS angstrom
Nd 0.000 0.000 0.000
O 1.788 1.032 4.407
O 5.364 3.097 2.324
Er 3.576 2.064 3.366
CELL_PARAMETERS angstrom
3.576 0.000 0.000
1.788 3.097 0.000
1.788 1.032 6.732
```

Density functional theory data (PBE) for a relaxed Ag12SnAu7 crystal. Values from VASP.

Values from the calculation:
The value obtained for the energy of formation is 0.0455 eV per atom. The raw total energy comes out at -3.01 eV/atom.

The structure in Quantum ESPRESSO input format:
```
&SYSTEM
  ibrav = 0, nat = 20, ntyp = 3
/
ATOMIC_SPECIES
Ag 107.87 Ag.upf
Sn 118.71 Sn.upf
Au 196.97 Au.upf
ATOMIC_POSITIONS angstrom
Ag 5.424 -0.663 4.664
Ag 5.517 2.119 0.301
Ag 2.495 -0.386 4.314
Ag 4.437 1.387 2.961
Ag 0.501 -1.991 5.550
Ag 0.099 0.942 5.430
Ag 3.274 3.545 1.305
Ag 2.871 6.478 1.185
Ag -1.065 3.100 3.774
Ag 0.878 4.874 2.421
Ag -2.145 2.369 6.434
Ag -2.051 5.150 2.071
Sn 0.000 0.000 0.000
Au 2.710 1.844 6.058
Au 2.354 0.097 1.526
Au -0.562 0.527 2.700
Au 1.686 2.244 3.367
Au 3.934 3.960 4.035
Au 1.018 4.390 5.209
Au 0.663 2.643 0.677
CELL_PARAMETERS angstrom
7.681 -0.019 -0.029
-2.155 7.373 -0.029
-2.155 -2.867 6.793
```

Density functional theory data (PBE) for a relaxed CeGdYHo crystal. Values from VASP.

Values from the calculation:
The value obtained for the energy of formation is 0.1638 eV per atom. The raw total energy comes out at -7.60 eV/atom.

The structure in Quantum ESPRESSO input format:
```
&SYSTEM
  ibrav = 0, nat = 4, ntyp = 4
/
ATOMIC_SPECIES
Y 88.91 Y.upf
Gd 157.25 Gd.upf
Ho 164.93 Ho.upf
Ce 140.12 Ce.upf
ATOMIC_POSITIONS angstrom
Y 8.515 4.916 3.476
Gd 0.000 0.000 0.000
Ho 5.676 3.277 2.317
Ce 2.838 1.639 1.159
CELL_PARAMETERS angstrom
5.676 0.000 0.000
2.838 4.916 0.000
2.838 1.639 4.635
```

Density functional theory data (PBE) for a relaxed HfZr5Pt2 crystal. Values from VASP.

Values from the calculation:
The value obtained for the energy of formation is -0.4452 eV per atom. The raw total energy comes out at -8.54 eV/atom.

The structure in Quantum ESPRESSO input format:
```
&SYSTEM
  ibrav = 0, nat = 16, ntyp = 3
/
ATOMIC_SPECIES
Hf 178.49 Hf.upf
Zr 91.22 Zr.upf
Pt 195.08 Pt.upf
ATOMIC_POSITIONS angstrom
Hf 1.687 2.651 14.161
Hf 0.000 2.679 4.720
Zr 1.687 4.568 16.825
Zr 1.687 4.568 11.498
Zr 0.000 3.871 8.964
Zr 0.000 3.871 0.477
Zr 1.687 0.214 4.720
Zr 0.000 5.116 14.161
Zr 1.687 1.459 9.918
Zr 1.687 1.459 18.404
Zr 0.000 0.762 2.057
Zr 0.000 0.762 7.384
Pt 1.687 3.071 6.833
Pt 1.687 3.071 2.608
Pt 0.000 2.259 12.049
Pt 0.000 2.259 16.273
CELL_PARAMETERS angstrom
3.374 0.000 0.000
-1.687 5.330 0.000
0.000 0.000 18.882
```

Density functional theory data (PBE) for a relaxed Ac2Pr2Te5 crystal. Values from VASP.

Values from the calculation:
The calculation puts the formation energy from raw total energies at -1.42 eV per atom. The raw total energy comes out at -5.14 eV/atom.

The structure in Quantum ESPRESSO input format:
```
&SYSTEM
  ibrav = 0, nat = 9, ntyp = 3
/
ATOMIC_SPECIES
Ac 227.00 Ac.upf
Pr 140.91 Pr.upf
Te 127.60 Te.upf
ATOMIC_POSITIONS angstrom
Ac -1.990 -4.356 -4.682
Ac -2.450 -2.349 0.787
Pr -1.550 -0.620 -2.903
Pr -2.890 -6.084 -0.992
Te -3.063 -1.383 -5.780
Te -1.376 -5.321 1.885
Te -0.384 -3.718 -1.675
Te -4.055 -2.987 -2.219
Te 0.000 0.000 0.000
CELL_PARAMETERS angstrom
-4.840 -0.736 2.741
-2.058 -0.159 -9.419
2.459 -5.810 2.783
```